## MoAs2IrBr (PBE-GGA)

Data for a relaxed structure of MoAs2IrBr.

Cell: 4.8588 4.8588 4.9486 Å, 90.00 90.00 90.00°
Element x y z (fractional)
Mo (0.0000, 0.0000, 0.0000)
As (0.0000, 0.5000, 0.0000)
As (0.5000, 0.0000, 0.0000)
Ir (0.5000, 0.5000, 0.5000)
Br (0.0000, 0.0000, 0.5000)

- magnetic moment (Bohr magnetons per cell) = 1.71
- relative energy among the computed polymorphs (meV/atom) = 154
- formation energy from raw total energies (eV per atom) = 1.24